1.
## PaCo2Si (PBE-GGA)

Data for PaCo2Si after structural relaxation.

Results
- space group = No. 59
- uncorrected formation energy (eV/atom) = -0.598
- M_tot (Bohr magnetons per cell) = 0.000
- DOS at the Fermi energy (states/eV/atom) = 0.933

Lattice parameters (Å, degrees): 3.933 5.978 5.137 90.00 90.00 90.00
Atoms (fractional coordinates):
Pa 0.250 0.250 0.160
Pa 0.750 0.750 0.840
Co 0.250 0.037 0.666
Co 0.250 0.463 0.666
Co 0.750 0.537 0.334
Co 0.750 0.963 0.334
Si 0.250 0.750 0.348
Si 0.750 0.250 0.652

2.
## Pm6Pr2Dy3 (PBE-GGA)

Data for Pm6Pr2Dy3 after structural relaxation.

Results
- space group = No. 139
- ΔE_f (eV per formula unit) = 3.01
- M_tot (Bohr magnetons per cell) = 0.000
- DOS at the Fermi energy (states/eV/atom) = 1.460
- energy relative to the lowest polymorph listed for this composition (eV per formula unit) = 1.17

Lattice parameters (Å, degrees): 17.382 17.382 17.382 164.10 164.10 22.56
Atoms (fractional coordinates):
Pm 0.122 0.622 0.500
Pm 0.200 0.200 0.000
Pm 0.378 0.878 0.500
Pm 0.622 0.122 0.500
Pm 0.800 0.800 0.000
Pm 0.878 0.378 0.500
Pr 0.046 0.046 0.000
Pr 0.954 0.954 0.000
Dy 0.301 0.301 0.000
Dy 0.500 0.500 0.000
Dy 0.699 0.699 0.000

3.
## ErPu4P5 (PBE-GGA)

Data for ErPu4P5 after structural relaxation.

Results
- space group = No. 87
- ΔE_f (eV per formula unit) = -12.43
- M_tot (Bohr magnetons per cell) = 19.842
- DOS at the Fermi energy (states/eV/atom) = 3.325

Lattice parameters (Å, degrees): 6.911 6.911 6.911 99.60 99.60 131.81
Atoms (fractional coordinates):
Er 0.000 0.000 0.000
Pu 0.201 0.601 0.801
Pu 0.399 0.201 0.600
Pu 0.601 0.799 0.400
Pu 0.799 0.399 0.199
P 0.100 0.302 0.402
P 0.302 0.900 0.202
P 0.500 0.500 0.000
P 0.698 0.100 0.798
P 0.900 0.698 0.598